# NaWAu PBE-GGA optimized geometry
# * formation energy from the elements: 2.18 eV per formula unit
data_NaWAu
_cell_length_a 11.3325
_cell_length_b 5.1971
_cell_length_c 4.8888
_cell_angle_alpha 90.00
_cell_angle_beta 90.00
_cell_angle_gamma 90.00
_space_group_name_H-M_alt 'P n m a'
_space_group_IT_number 62
loop_
_space_group_symop_operation_xyz
'x,y,z'
'-x,-y,-z'
'-x+1/2,-y,z+1/2'
'x+1/2,y,-z+1/2'
'x+1/2,-y+1/2,-z+1/2'
'-x+1/2,y+1/2,z+1/2'
'-x,y+1/2,-z'
'x,-y+1/2,z'
loop_
_atom_site_label
_atom_site_fract_x
_atom_site_fract_y
_atom_site_fract_z
_atom_site_occupancy
Na1 0.2490 0.2500 0.2418 1
W1 0.0002 0.2500 0.5058 1
Au1 0.0000 0.0000 0.0000 1

# Rb4Th3Te8Pb PBE-GGA optimized geometry
# * E_form (uncorrected): -1.087 eV/atom
data_Rb4Th3Te8Pb
_cell_length_a 9.2464
_cell_length_b 9.2464
_cell_length_c 25.8265
_cell_angle_alpha 90.00
_cell_angle_beta 90.00
_cell_angle_gamma 120.00
_space_group_name_H-M_alt 'R -3 m'
_space_group_IT_number 166
_space_group_name_Hall '-R 3 2"'
loop_
_atom_site_label
_atom_site_fract_x
_atom_site_fract_y
_atom_site_fract_z
_atom_site_occupancy
Rb1 0.0000 0.0000 0.0000 1
Rb2 0.0000 0.5000 0.0000 1
Th1 0.0000 0.5000 0.5000 1
Te1 0.0000 0.0000 0.2355 1
Te2 0.0089 0.5045 0.7643 1
Pb1 0.0000 0.0000 0.5000 1

# BiAuS2 PBE-GGA optimized geometry
# * E_form (uncorrected): -0.073 eV/atom
data_BiAuS2
_cell_length_a 7.2675
_cell_length_b 3.9386
_cell_length_c 7.4402
_cell_angle_alpha 90.00
_cell_angle_beta 118.77
_cell_angle_gamma 90.00
_space_group_name_H-M_alt 'C 1 2/m 1'
_space_group_IT_number 12
loop_
_space_group_symop_operation_xyz
'x,y,z'
'-x,-y,-z'
'-x,y,-z'
'x,-y,z'
'x+1/2,y+1/2,z'
'-x+1/2,-y+1/2,-z'
'-x+1/2,y+1/2,-z'
'x+1/2,-y+1/2,z'
loop_
_atom_site_label
_atom_site_fract_x
_atom_site_fract_y
_atom_site_fract_z
_atom_site_occupancy
Bi1 0.0000 0.0000 0.0000 1
Au1 0.0000 0.0000 0.5000 1
S1 0.0513 0.5000 0.7463 1

# Pm2ZnFeC PBE-GGA optimized geometry
# * formation energy from the elements: -1.17 eV per formula unit
data_Pm2ZnFeC
_cell_length_a 5.1568
_cell_length_b 5.1568
_cell_length_c 3.6769
_cell_angle_alpha 90.00
_cell_angle_beta 90.00
_cell_angle_gamma 90.00
_space_group_name_H-M_alt 'P 4/m m m'
_space_group_IT_number 123
_space_group_name_Hall '-P 4 2'
loop_
_atom_site_label
_atom_site_fract_x
_atom_site_fract_y
_atom_site_fract_z
_atom_site_occupancy
Pm1 0.0000 0.5000 0.0000 1
Zn1 0.0000 0.0000 0.5000 1
Fe1 0.5000 0.5000 0.5000 1
C1 0.5000 0.5000 0.0000 1

# Pr4MgCu PBE-GGA optimized geometry
# * formation energy from the elements: -0.45 eV per formula unit
data_Pr4MgCu
_cell_length_a 14.3019
_cell_length_b 14.3019
_cell_length_c 14.3019
_cell_angle_alpha 90.00
_cell_angle_beta 90.00
_cell_angle_gamma 90.00
_space_group_name_H-M_alt 'F -4 3 m'
_space_group_IT_number 216
_space_group_name_Hall 'F -4 2 3'
loop_
_atom_site_label
_atom_site_fract_x
_atom_site_fract_y
_atom_site_fract_z
_atom_site_occupancy
Pr1 0.0000 0.0000 0.1845 1
Pr2 0.0576 0.2500 0.2500 1
Pr3 0.0983 0.0983 0.5983 1
Mg1 0.1711 0.1711 0.8289 1
Cu1 0.1078 0.1078 0.3922 1

# HoPa2RuC4 PBE-GGA optimized geometry
# * formation energy from the elements: -1.03 eV per formula unit
data_HoPa2RuC4
_cell_length_a 3.5514
_cell_length_b 11.7702
_cell_length_c 11.7986
_cell_angle_alpha 90.00
_cell_angle_beta 90.00
_cell_angle_gamma 90.00
_space_group_name_H-M_alt 'C m c m'
_space_group_IT_number 63
_space_group_name_Hall '-C 2c 2'
loop_
_atom_site_label
_atom_site_fract_x
_atom_site_fract_y
_atom_site_fract_z
_atom_site_occupancy
Ho1 0.0000 0.1177 0.2500 1
Pa1 0.0000 0.3672 0.0444 1
Ru1 0.0000 0.1451 0.7500 1
C1 0.0000 0.0000 0.0000 1
C2 0.0000 0.2659 0.6282 1
C3 0.0000 0.4423 0.2500 1

# Mg2HgRh2 PBE-GGA optimized geometry
# * formation energy from the elements: -1.67 eV per formula unit
data_Mg2HgRh2
_cell_length_a 7.0792
_cell_length_b 7.0792
_cell_length_c 3.4914
_cell_angle_alpha 90.00
_cell_angle_beta 90.00
_cell_angle_gamma 90.00
_space_group_name_H-M_alt 'P 4/m b m'
_space_group_IT_number 127
_space_group_name_Hall '-P 4 2ab'
loop_
_atom_site_label
_atom_site_fract_x
_atom_site_fract_y
_atom_site_fract_z
_atom_site_occupancy
Mg1 0.1585 0.3415 0.0000 1
Hg1 0.0000 0.0000 0.5000 1
Rh1 0.1374 0.6374 0.5000 1

# LiFe2Ru PBE-GGA optimized geometry
# * formation energy from the elements: 1.18 eV per formula unit
data_LiFe2Ru
_cell_length_a 2.6010
_cell_length_b 2.6010
_cell_length_c 7.8129
_cell_angle_alpha 90.00
_cell_angle_beta 90.00
_cell_angle_gamma 90.00
_space_group_name_H-M_alt 'P 4/m m m'
_space_group_IT_number 123
_space_group_name_Hall '-P 4 2'
loop_
_atom_site_label
_atom_site_fract_x
_atom_site_fract_y
_atom_site_fract_z
_atom_site_occupancy
Li1 0.0000 0.0000 0.0000 1
Fe1 0.5000 0.5000 0.2647 1
Ru1 0.0000 0.0000 0.5000 1

Number 1: calculated density 9.3 Mg/m³, total moment 0.0 μB per formula unit. Number 2: calculated density 5.9 Mg/m³, total moment 0.1 μB per formula unit. Number 3: calculated density 8.4 Mg/m³, total moment 0.0 μB per formula unit. Number 4: calculated density 7.2 Mg/m³, total moment 0.2 μB per formula unit. Number 5: calculated density 5.9 Mg/m³, total moment 0.0 μB per formula unit. Number 6: calculated density 10.5 Mg/m³, total moment 0.0 μB per formula unit. Number 7: calculated density 8.6 Mg/m³, total moment 0.0 μB per formula unit. Number 8: calculated density 6.9 Mg/m³, total moment 4.4 μB per formula unit.